A plane-wave DFT calculation with GGA-PBE was carried out for a geometry-optimized LaHfSb3 structure.

Cell lengths 5.4854, 5.4854, 5.4854 Å; angles 90.00, 90.00, 90.00 degrees
Space group Pm-3m (No. 221)
Unique sites:
1 La 0.0000 0.0000 0.0000 x1
2 Hf 0.5000 0.5000 0.5000 x1
3 Sb 0.0000 0.5000 0.5000 x3

Summary:
ρ (g/cm3): 6.9
ΔE to the lowest computed polymorph (meV per atom): 489
Spin magnetization (μB/f.u.): 0.00
Energy relative to the elements, uncorrected (meV/atom): -258

A plane-wave DFT calculation with GGA-PBE was carried out for a geometry-optimized BaMoW2 structure.

Cell lengths 5.5283, 10.4430, 2.8033 Å; angles 90.00, 90.00, 90.00 degrees
Space group Cmmm (No. 65)
Unique sites:
1 Ba 0.0000 0.0000 0.0000 x2
2 Mo 0.0000 0.5000 0.0000 x2
3 W 0.2500 0.2500 0.5000 x4

Summary:
ρ (g/cm3): 12.3
ΔE to the lowest computed polymorph (meV per atom): 696
Formation enthalpy at 0 K (eV/atom): 1.5438
Spin magnetization (μB/f.u.): 0.00

A plane-wave DFT calculation with GGA-PBE was carried out for a geometry-optimized BeInRh2 structure.

Cell lengths 3.0601, 3.0601, 6.2885 Å; angles 90.00, 90.00, 90.00 degrees
Space group P4mm (No. 99)
Unique sites:
1 Be 0.0000 0.0000 0.0000 x1
2 In 0.5000 0.5000 0.3291 x1
3 Rh 0.0000 0.0000 0.5953 x1
4 Rh 0.5000 0.5000 0.8919 x1

Summary:
ρ (g/cm3): 9.3
Formation enthalpy at 0 K (eV/atom): -0.2119
Spin magnetization (μB/f.u.): 0.00

A plane-wave DFT calculation with GGA-PBE was carried out for a geometry-optimized NiMo2Ru structure.

Cell lengths 8.8960, 2.7660, 4.7145 Å; angles 90.00, 100.17, 90.00 degrees
Space group Cm (No. 8)
Unique sites:
1 Ni 0.0000 0.0000 0.0000 x2
2 Mo 0.0060 0.5000 0.5026 x2
3 Mo 0.2430 0.5000 0.2014 x2
4 Ru 0.2574 0.0000 0.7293 x2

Summary:
ρ (g/cm3): 10.2
Formation enthalpy at 0 K (eV/atom): 0.0819
Spin magnetization (μB/f.u.): 0.00

A plane-wave DFT calculation with GGA-PBE was carried out for a geometry-optimized Ag2RhI structure.

Cell lengths 6.8588, 6.8588, 6.8588 Å; angles 90.00, 90.00, 90.00 degrees
Space group Fm-3m (No. 225)
Unique sites:
1 Ag 0.2500 0.2500 0.2500 x8
2 Rh 0.0000 0.0000 0.0000 x4
3 I 0.0000 0.0000 0.5000 x4

Summary:
ρ (g/cm3): 9.2
ΔE to the lowest computed polymorph (meV per atom): 147
Spin magnetization (μB/f.u.): 0.00
Energy relative to the elements, uncorrected (meV/atom): 624

A plane-wave DFT calculation with GGA-PBE was carried out for a geometry-optimized HoSc2Ga6 structure.

Cell lengths 4.1604, 6.8136, 12.8173 Å; angles 90.00, 90.00, 90.00 degrees
Space group Immm (No. 71)
Unique sites:
1 Ho 0.0000 0.0000 0.0000 x2
2 Sc 0.0000 0.5000 0.1214 x4
3 Ga 0.0000 0.1859 0.5000 x4
4 Ga 0.0000 0.3039 0.3104 x8

Summary:
ρ (g/cm3): 6.2
ΔE to the lowest computed polymorph (meV per atom): 83
Formation enthalpy at 0 K (eV/atom): -0.4808
Spin magnetization (μB/f.u.): 0.00

A plane-wave DFT calculation with GGA-PBE was carried out for a geometry-optimized RbLa3Pr2Te6 structure.

Cell lengths 20.1939, 4.5944, 9.3649 Å; angles 90.00, 103.04, 90.00 degrees
Space group C2/m (No. 12)
Unique sites:
1 Rb 0.0000 0.0000 0.0000 x2
2 La 0.0000 0.0000 0.5000 x2
3 La 0.1625 0.5000 0.8266 x4
4 Pr 0.1717 0.5000 0.3477 x4
5 Te 0.0044 0.5000 0.2673 x4
6 Te 0.1651 0.0000 0.5850 x4
7 Te 0.1739 0.0000 0.0900 x4

Summary:
ρ (g/cm3): 6.1
Spin magnetization (μB/f.u.): 0.00
Energy relative to the elements, uncorrected (meV/atom): -1471

A plane-wave DFT calculation with GGA-PBE was carried out for a geometry-optimized Ca2LaRh structure.

Cell lengths 5.5418, 12.6529, 3.9155 Å; angles 90.00, 90.00, 90.00 degrees
Space group Cmmm (No. 65)
Unique sites:
1 Ca 0.0000 0.1610 0.0000 x4
2 La 0.0000 0.5000 0.5000 x2
3 Rh 0.0000 0.0000 0.5000 x2

Summary:
ρ (g/cm3): 3.9
ΔE to the lowest computed polymorph (meV per atom): 166
Formation enthalpy at 0 K (eV/atom): -0.2451
Spin magnetization (μB/f.u.): 0.02